1.
Density functional theory data (PBE) for a relaxed structure of CaSi4Rh6.

The structure in POSCAR format:
```
CaSi4Rh6
1.0
7.0364 0.0000 0.0000
-3.5182 6.0937 0.0000
0.0000 0.0000 3.7802
Ca Si Rh
1 4 6
Cartesian
0.0000 0.0000 0.0000
0.0000 4.0625 0.0000
2.1267 1.2278 1.8901
4.9097 1.2278 1.8901
3.5182 3.6380 1.8901
0.0000 2.4123 1.8901
-1.4291 4.8875 1.8901
3.5182 0.4043 0.0000
2.1092 2.8447 0.0000
1.4291 4.8875 1.8901
4.9272 2.8447 0.0000
```

Uncorrected formation energy, eV/f.u.: -10.06

2.
Density functional theory data (PBE) for a relaxed structure of LiHoAgHg.

The structure in POSCAR format:
```
LiHoAgHg
1.0
6.9998 0.0000 0.0000
0.0000 6.9998 0.0000
0.0000 0.0000 6.9998
Li Ho Ag Hg
4 4 4 4
Cartesian
0.0000 0.0000 0.0000
0.0000 3.4999 3.4999
3.4999 0.0000 3.4999
3.4999 3.4999 0.0000
0.0000 0.0000 3.4999
0.0000 3.4999 0.0000
3.4999 0.0000 0.0000
3.4999 3.4999 3.4999
1.7499 1.7499 1.7499
1.7499 5.2498 5.2498
5.2498 1.7499 5.2498
5.2498 5.2498 1.7499
1.7499 1.7499 5.2498
1.7499 5.2498 1.7499
5.2498 1.7499 1.7499
5.2498 5.2498 5.2498
```

DFT formation energy, eV/atom: -0.3123

3.
Density functional theory data (PBE) for a relaxed structure of MgTl.

The structure in POSCAR format:
```
MgTl
1.0
0.0000 4.2707 5.8703
4.2631 0.0000 5.8703
4.2631 4.2707 0.0000
Mg Tl
4 4
Cartesian
5.8856 3.2030 4.4027
8.0171 5.3384 7.3379
0.5090 3.2030 4.4027
2.6405 5.3384 7.3379
3.1973 1.5836 4.4027
5.3288 3.7190 7.3379
3.1973 4.8224 4.4027
5.3288 6.9578 7.3379
```

DFT formation energy, eV/atom: 0.0728

| no. | E_tot (eV/atom) |
| --- | --- |
| 1 | -7.0786 |
| 2 | -2.7234 |
| 3 | -1.9076 |